(1)
Ac3TeSeN after structural relaxation, computed with PBE-GGA.

Total moment, μB/f.u.: 0.000
E_form (uncorrected), eV/atom: -1.481
Crystal system: monoclinic
Calculated density, kg/m3: 7310

Cell: 9.5594 4.3590 9.9813 Å, 90.00 100.02 90.00°
Space group P2_1/m (No. 11)
Asymmetric unit:
Ac 0.0764 0.2500 0.3438 (multiplicity 2)
Ac 0.3351 0.2500 0.9867 (multiplicity 2)
Ac 0.3910 0.7500 0.6571 (multiplicity 2)
Te 0.3269 0.7500 0.2870 (multiplicity 2)
Se 0.1564 0.2500 0.6629 (multiplicity 2)
N 0.4170 0.7500 0.8972 (multiplicity 2)

(2)
Ac4Te2SeN2 after structural relaxation, computed with PBE-GGA.

Total moment, μB/f.u.: 0.000
E_form (uncorrected), eV/atom: -1.623
Crystal system: monoclinic
Calculated density, kg/m3: 7635

Cell: 16.7885 4.3428 8.0842 Å, 90.00 110.37 90.00°
Space group C2/m (No. 12)
Asymmetric unit:
Ac 0.0399 0.0000 0.2602 (multiplicity 4)
Ac 0.2129 0.5000 0.6565 (multiplicity 4)
Te 0.1288 0.5000 0.0355 (multiplicity 4)
Se 0.0000 0.5000 0.5000 (multiplicity 2)
N 0.1742 0.0000 0.4778 (multiplicity 4)

(3)
Ac4TeSe2N after structural relaxation, computed with PBE-GGA.

Total moment, μB/f.u.: 0.000
E_form (uncorrected), eV/atom: -1.466
Crystal system: orthorhombic
Calculated density, kg/m3: 8155

Cell: 8.7172 8.9712 12.5768 Å, 90.00 90.00 90.00°
Space group Imma (No. 74)
Asymmetric unit:
Ac 0.0000 0.0345 0.2452 (multiplicity 8)
Ac 0.2388 0.2500 0.0298 (multiplicity 8)
Te 0.0000 0.0000 0.5000 (multiplicity 4)
Se 0.0000 0.0000 0.0000 (multiplicity 4)
Se 0.2500 0.2500 0.7500 (multiplicity 4)
N 0.2500 0.2500 0.2500 (multiplicity 4)

(4)
AcThSe2N after structural relaxation, computed with PBE-GGA.

Total moment, μB/f.u.: 0.000
E_form (uncorrected), eV/atom: -1.841
Crystal system: tetragonal
Calculated density, kg/m3: 7540

Cell: 4.2186 4.2186 15.6159 Å, 90.00 90.00 90.00°
Space group P4/nmm (No. 129, origin choice 2)
Asymmetric unit:
Ac 0.2500 0.2500 0.1347 (multiplicity 2)
Th 0.2500 0.2500 0.5708 (multiplicity 2)
Se 0.2500 0.2500 0.3191 (multiplicity 2)
Se 0.2500 0.2500 0.9152 (multiplicity 2)
N 0.2500 0.7500 0.5000 (multiplicity 2)

- The highest E_form (uncorrected) belongs to which entry?
  Ac4TeSe2N